Record 1
# Tb8Bi3SbTe4 (GGA-PBE, optimized geometry)
# Uncorrected formation energy in kcal/mol of atoms: -26.608
# Crystal system: trigonal
# Density of states at the Fermi level in states/eV/atom: 0.496
# Spin magnetization in μB per cell: 0.000
# Volume in Å³/atom: 30.6
# Raw total energy in eV per atom: -5.240
data_Tb8Bi3SbTe4
_chemical_formula_sum 'Tb24 Bi9 Sb3 Te12'
_cell_length_a 8.8666
_cell_length_b 8.8666
_cell_length_c 21.5889
_cell_angle_alpha 90.00
_cell_angle_beta 90.00
_cell_angle_gamma 120.00
_symmetry_space_group_name_H-M 'R -3 m'
_symmetry_Int_Tables_number 166
_symmetry_space_group_name_Hall '-R 3 2"'
loop_
_atom_site_label
_atom_site_fract_x
_atom_site_fract_y
_atom_site_fract_z
Tb1 0.0000 0.0000 0.2497
Tb2 0.0053 0.5027 0.2484
Bi1 0.0000 0.5000 0.5000
Sb1 0.0000 0.0000 0.5000
Te1 0.0000 0.0000 0.0000
Te2 0.0000 0.5000 0.0000

***

Record 2
# TbThBiSb (GGA-PBE, optimized geometry)
# Uncorrected formation energy in kcal/mol of atoms: -15.547
# Crystal system: cubic
# Density of states at the Fermi level in states/eV/atom: 1.091
# Distance to the lowest polymorph of the same formula in meV per atom: 205.0
# Spin magnetization in μB per cell: 0.001
# Volume in Å³/atom: 29.1
# Raw total energy in eV per atom: -5.688
data_TbThBiSb
_chemical_formula_sum 'Tb4 Th4 Bi4 Sb4'
_cell_length_a 7.754
_cell_length_b 7.754
_cell_length_c 7.754
_cell_angle_alpha 90.00
_cell_angle_beta 90.00
_cell_angle_gamma 90.00
_symmetry_space_group_name_H-M 'F -4 3 m'
_symmetry_Int_Tables_number 216
_symmetry_space_group_name_Hall 'F -4 2 3'
loop_
_atom_site_label
_atom_site_fract_x
_atom_site_fract_y
_atom_site_fract_z
Tb1 0.000 0.000 0.000
Th1 0.000 0.000 0.500
Bi1 0.250 0.250 0.250
Sb1 0.250 0.250 0.750

***

Record 3
# TbThBiSb (GGA-PBE, optimized geometry)
# Uncorrected formation energy in kcal/mol of atoms: -20.275
# Crystal system: trigonal
# Density of states at the Fermi level in states/eV/atom: 0.532
# Distance to the lowest polymorph of the same formula in meV per atom: 0.0
# Spin magnetization in μB per cell: 0.000
# Volume in Å³/atom: 32.2
# Raw total energy in eV per atom: -5.893
data_TbThBiSb
_chemical_formula_sum 'Tb3 Th3 Bi3 Sb3'
_cell_length_a 4.5039
_cell_length_b 4.5039
_cell_length_c 21.9921
_cell_angle_alpha 90.00
_cell_angle_beta 90.00
_cell_angle_gamma 120.00
_symmetry_space_group_name_H-M 'R 3 m'
_symmetry_Int_Tables_number 160
_symmetry_space_group_name_Hall 'R 3 -2"'
loop_
_atom_site_label
_atom_site_fract_x
_atom_site_fract_y
_atom_site_fract_z
Tb1 0.0000 0.0000 0.0000
Th1 0.0000 0.0000 0.5056
Bi1 0.0000 0.0000 0.7503
Sb1 0.0000 0.0000 0.2557

***

Record 4
# TbTmBiSb (GGA-PBE, optimized geometry)
# Uncorrected formation energy in kcal/mol of atoms: -22.172
# Crystal system: tetragonal
# Density of states at the Fermi level in states/eV/atom: 0.145
# Spin magnetization in μB per cell: 0.000
# Volume in Å³/atom: 30.4
# Raw total energy in eV per atom: -5.238
data_TbTmBiSb
_chemical_formula_sum 'Tb1 Tm1 Bi1 Sb1'
_cell_length_a 4.416
_cell_length_b 4.416
_cell_length_c 6.241
_cell_angle_alpha 90.00
_cell_angle_beta 90.00
_cell_angle_gamma 90.00
_symmetry_space_group_name_H-M 'P 4 m m'
_symmetry_Int_Tables_number 99
loop_
_symmetry_equiv_pos_as_xyz
'x,y,z'
'-y,x,z'
'-x,-y,z'
'y,-x,z'
'-x,y,z'
'y,x,z'
'x,-y,z'
'-y,-x,z'
loop_
_atom_site_label
_atom_site_fract_x
_atom_site_fract_y
_atom_site_fract_z
Tb1 0.000 0.000 0.000
Tm1 0.500 0.500 0.501
Bi1 0.500 0.500 0.001
Sb1 0.000 0.000 0.500

***

Record 5
# TbYBiSb (GGA-PBE, optimized geometry)
# Uncorrected formation energy in kcal/mol of atoms: -23.521
# Crystal system: tetragonal
# Density of states at the Fermi level in states/eV/atom: 0.145
# Spin magnetization in μB per cell: 0.000
# Volume in Å³/atom: 31.0
# Raw total energy in eV per atom: -5.794
data_TbYBiSb
_chemical_formula_sum 'Tb1 Y1 Bi1 Sb1'
_cell_length_a 4.441
_cell_length_b 4.441
_cell_length_c 6.280
_cell_angle_alpha 90.00
_cell_angle_beta 90.00
_cell_angle_gamma 90.00
_symmetry_space_group_name_H-M 'P 4/m m m'
_symmetry_Int_Tables_number 123
_symmetry_space_group_name_Hall '-P 4 2'
loop_
_atom_site_label
_atom_site_fract_x
_atom_site_fract_y
_atom_site_fract_z
Tb1 0.000 0.000 0.000
Y1 0.500 0.500 0.500
Bi1 0.000 0.000 0.500
Sb1 0.500 0.500 0.000

***

Record 6
# Tc2BiSb (GGA-PBE, optimized geometry)
# Uncorrected formation energy in kcal/mol of atoms: 25.946
# Crystal system: tetragonal
# Density of states at the Fermi level in states/eV/atom: 0.069
# Distance to the lowest polymorph of the same formula in meV per atom: 740.6
# Spin magnetization in μB per cell: 0.000
# Volume in Å³/atom: 28.0
# Raw total energy in eV per atom: -6.059
data_Tc2BiSb
_chemical_formula_sum 'Tc8 Bi4 Sb4'
_cell_length_a 6.092
_cell_length_b 6.092
_cell_length_c 12.055
_cell_angle_alpha 90.00
_cell_angle_beta 90.00
_cell_angle_gamma 90.00
_symmetry_space_group_name_H-M 'I -4 2 d'
_symmetry_Int_Tables_number 122
_symmetry_space_group_name_Hall 'I -4 2bw'
loop_
_atom_site_label
_atom_site_fract_x
_atom_site_fract_y
_atom_site_fract_z
Tc1 0.238 0.250 0.125
Bi1 0.000 0.000 0.500
Sb1 0.000 0.000 0.000

***

Record 7
# TcBiSb3 (GGA-PBE, optimized geometry)
# Uncorrected formation energy in kcal/mol of atoms: 9.038
# Crystal system: cubic
# Density of states at the Fermi level in states/eV/atom: 0.698
# Distance to the lowest polymorph of the same formula in meV per atom: 0.0
# Spin magnetization in μB per cell: 0.000
# Volume in Å³/atom: 28.0
# Raw total energy in eV per atom: -4.931
data_TcBiSb3
_chemical_formula_sum 'Tc1 Bi1 Sb3'
_cell_length_a 5.193
_cell_length_b 5.193
_cell_length_c 5.193
_cell_angle_alpha 90.00
_cell_angle_beta 90.00
_cell_angle_gamma 90.00
_symmetry_space_group_name_H-M 'P m -3 m'
_symmetry_Int_Tables_number 221
_symmetry_space_group_name_Hall '-P 4 2 3'
loop_
_atom_site_label
_atom_site_fract_x
_atom_site_fract_y
_atom_site_fract_z
Tc1 0.000 0.000 0.000
Bi1 0.500 0.500 0.500
Sb1 0.000 0.000 0.500

***

Record 8
# TcBi2Sb (GGA-PBE, optimized geometry)
# Uncorrected formation energy in kcal/mol of atoms: 17.132
# Crystal system: tetragonal
# Density of states at the Fermi level in states/eV/atom: 0.839
# Spin magnetization in μB per cell: 0.000
# Volume in Å³/atom: 35.4
# Raw total energy in eV per atom: -4.820
data_TcBi2Sb
_chemical_formula_sum 'Tc4 Bi8 Sb4'
_cell_length_a 6.619
_cell_length_b 6.619
_cell_length_c 12.933
_cell_angle_alpha 90.00
_cell_angle_beta 90.00
_cell_angle_gamma 90.00
_symmetry_space_group_name_H-M 'I -4 2 d'
_symmetry_Int_Tables_number 122
_symmetry_space_group_name_Hall 'I -4 2bw'
loop_
_atom_site_label
_atom_site_fract_x
_atom_site_fract_y
_atom_site_fract_z
Tc1 0.000 0.000 0.000
Bi1 0.197 0.250 0.125
Sb1 0.000 0.000 0.500